VASP calculation (GGA-PBE) on crystalline CsLiTc2O6 at its relaxed geometry.

Structure (POSCAR):
```
CsLiTc2O6
1.0
-1.5995 2.1498 7.2211
1.1918 -7.5575 -0.8880
5.4476 0.7479 0.9798
Tc O Cs Li
4 12 2 2
direct
0.2309 0.4044 0.2506 Tc
0.7691 0.5956 0.7494 Tc
0.5956 0.7691 0.2494 Tc
0.4044 0.2309 0.7506 Tc
0.0039 0.6120 0.7497 O
0.6120 0.0039 0.2497 O
0.2330 0.2324 0.0012 O
0.3912 0.6095 0.4739 O
0.2324 0.2330 0.5012 O
0.7670 0.7676 0.9988 O
0.3905 0.6088 0.0261 O
0.6088 0.3905 0.5261 O
0.9961 0.3880 0.2503 O
0.6095 0.3912 0.9739 O
0.7676 0.7670 0.4988 O
0.3880 0.9961 0.7503 O
0.8563 0.1437 0.7500 Cs
0.1437 0.8563 0.2500 Cs
0.3001 0.6999 0.7500 Li
0.6999 0.3001 0.2500 Li
```

Uncorrected formation energy in eV per atom: -1.56
Magnetic moment in μB per formula unit: 0.00
Space group: No. 15